Record 1
{
  "formula": "Ba2CoIr",
  "functional": "PBE-GGA",
  "state": "optimized geometry",
  "cell": [[0.000, 3.707, 3.707], [3.707, 0.000, 3.707], [3.707, 3.707, 0.000]],
  "species": ["Ba", "Ba", "Co", "Ir"],
  "frac_coords": [[0.000, 0.000, 0.000], [0.250, 0.250, 0.250], [0.750, 0.750, 0.750], [0.500, 0.500, 0.500]],
  "delta_e_f_mev_per_atom": 692,
  "polymorph_energy_ev_per_atom": 0.740
}



Record 2
{
  "formula": "YCu2Ag",
  "functional": "PBE-GGA",
  "state": "optimized geometry",
  "cell": [[3.977, 0.000, 0.000], [0.000, 1.869, 5.004], [0.000, -1.869, 5.004]],
  "species": ["Y", "Cu", "Cu", "Ag"],
  "frac_coords": [[0.000, 0.000, 0.000], [0.000, 0.276, 0.276], [0.500, 0.408, 0.408], [0.500, 0.692, 0.692]],
  "delta_e_f_mev_per_atom": -98,
  "polymorph_energy_ev_per_atom": 0.043
}



Record 3
{
  "formula": "Li2CaSeO",
  "functional": "PBE-GGA",
  "state": "optimized geometry",
  "cell": [[4.129, 0.000, 0.000], [0.000, 4.129, 0.000], [0.000, 0.000, 4.632]],
  "species": ["Li", "Li", "Ca", "Se", "O"],
  "frac_coords": [[0.000, 0.500, 0.000], [0.500, 0.000, 0.000], [0.000, 0.000, 0.500], [0.500, 0.500, 0.500], [0.000, 0.000, 0.000]],
  "formation_energy_uncorrected_ev_per_atom": -1.872
}



Record 4
{
  "formula": "CaY2Tl2",
  "functional": "PBE-GGA",
  "state": "optimized geometry",
  "cell": [[-2.407, 2.407, 6.965], [2.407, -2.407, 6.965], [2.407, 2.407, -6.965]],
  "species": ["Ca", "Y", "Y", "Tl", "Tl"],
  "frac_coords": [[0.000, 0.000, 0.000], [0.250, 0.750, 0.500], [0.750, 0.250, 0.500], [0.397, 0.397, 0.000], [0.603, 0.603, 0.000]],
  "delta_e_f_mev_per_atom": -134,
  "polymorph_energy_ev_per_atom": 0.196
}



Record 5
{
  "formula": "CsTmPtBr6",
  "functional": "PBE-GGA",
  "state": "optimized geometry",
  "cell": [[7.052, 0.000, 0.000], [-3.526, 6.107, 0.000], [0.000, 0.000, 8.349]],
  "species": ["Cs", "Tm", "Pt", "Br", "Br", "Br", "Br", "Br", "Br"],
  "frac_coords": [[0.000, 0.000, 0.000], [0.667, 0.333, 0.500], [0.333, 0.667, 0.500], [0.009, 0.372, 0.689], [0.009, 0.637, 0.311], [0.363, 0.372, 0.311], [0.363, 0.991, 0.689], [0.628, 0.637, 0.689], [0.628, 0.991, 0.311]],
  "formation_energy_uncorrected_ev_per_atom": -1.200
}



Record 6
{
  "formula": "Pm4Dy5Pu",
  "functional": "PBE-GGA",
  "state": "optimized geometry",
  "cell": [[8.493, -1.769, 0.000], [8.493, 1.769, 0.000], [-3.722, 0.000, 10.770]],
  "species": ["Pm", "Pm", "Pm", "Pm", "Dy", "Dy", "Dy", "Dy", "Dy", "Pu"],
  "frac_coords": [[0.087, 0.087, 0.297], [0.395, 0.395, 0.206], [0.605, 0.605, 0.794], [0.913, 0.913, 0.703], [0.191, 0.191, 0.081], [0.210, 0.210, 0.615], [0.500, 0.500, 0.000], [0.790, 0.790, 0.385], [0.809, 0.809, 0.919], [0.500, 0.500, 0.500]],
  "delta_e_f_mev_per_atom": 78
}



Record 7
{
  "formula": "BaSc4Zn",
  "functional": "PBE-GGA",
  "state": "optimized geometry",
  "cell": [[0.000, 4.394, 4.394], [4.394, 0.000, 4.394], [4.394, 4.394, 0.000]],
  "species": ["Ba", "Sc", "Sc", "Sc", "Sc", "Zn"],
  "frac_coords": [[0.000, 0.000, 0.000], [0.131, 0.623, 0.623], [0.623, 0.131, 0.623], [0.623, 0.623, 0.131], [0.623, 0.623, 0.623], [0.250, 0.250, 0.250]],
  "delta_e_f_mev_per_atom": 417
}



Record 8
{
  "formula": "Hf2Ga2Sn",
  "functional": "PBE-GGA",
  "state": "optimized geometry",
  "cell": [[7.005, 0.000, 0.000], [0.000, 7.005, 0.000], [0.000, 0.000, 3.970]],
  "species": ["Hf", "Hf", "Hf", "Hf", "Ga", "Ga", "Ga", "Ga", "Sn", "Sn"],
  "frac_coords": [[0.177, 0.323, 0.000], [0.323, 0.823, 0.000], [0.677, 0.177, 0.000], [0.823, 0.677, 0.000], [0.123, 0.623, 0.500], [0.377, 0.123, 0.500], [0.623, 0.877, 0.500], [0.877, 0.377, 0.500], [0.000, 0.000, 0.500], [0.500, 0.500, 0.500]],
  "delta_e_f_mev_per_atom": -265,
  "polymorph_energy_ev_per_atom": 0.000
}



Record 9
{
  "formula": "NdDyIrI",
  "functional": "PBE-GGA",
  "state": "optimized geometry",
  "cell": [[2.083, 1.203, 8.030], [-2.083, 1.203, 8.030], [0.000, -2.405, 8.030]],
  "species": ["Nd", "Dy", "Ir", "I"],
  "frac_coords": [[0.000, 0.000, 0.000], [0.787, 0.787, 0.787], [0.396, 0.396, 0.396], [0.224, 0.224, 0.224]],
  "formation_energy_uncorrected_ev_per_atom": -0.955
}



Record 10
{
  "formula": "Er2InH",
  "functional": "PBE-GGA",
  "state": "optimized geometry",
  "cell": [[1.777, 1.026, 7.737], [-1.777, 1.026, 7.737], [0.000, -2.052, 7.737]],
  "species": ["Er", "Er", "In", "H"],
  "frac_coords": [[0.225, 0.225, 0.225], [0.775, 0.775, 0.775], [0.000, 0.000, 0.000], [0.500, 0.500, 0.500]],
  "polymorph_energy_ev_per_atom": 0.118
}



Record 11
{
  "formula": "KTaCuSe4",
  "functional": "PBE-GGA",
  "state": "optimized geometry",
  "cell": [[5.801, 0.000, 0.000], [0.000, 7.448, 0.000], [-2.425, 0.000, 9.828]],
  "species": ["K", "K", "Ta", "Ta", "Cu", "Cu", "Se", "Se", "Se", "Se", "Se", "Se", "Se", "Se"],
  "frac_coords": [[0.179, 0.250, 0.361], [0.821, 0.750, 0.639], [0.373, 0.750, 0.229], [0.627, 0.250, 0.771], [0.130, 0.250, 0.774], [0.870, 0.750, 0.226], [0.041, 0.750, 0.031], [0.206, 0.750, 0.428], [0.380, 0.511, 0.770], [0.380, 0.989, 0.770], [0.620, 0.011, 0.230], [0.620, 0.489, 0.230], [0.794, 0.250, 0.572], [0.959, 0.250, 0.969]],
  "formation_energy_uncorrected_ev_per_atom": -0.681
}



Record 12
{
  "formula": "LaInP2Se",
  "functional": "PBE-GGA",
  "state": "optimized geometry",
  "cell": [[5.239, 0.000, 0.000], [0.000, 5.239, 0.000], [0.000, 0.000, 5.709]],
  "species": ["La", "In", "P", "P", "Se"],
  "frac_coords": [[0.000, 0.000, 0.000], [0.500, 0.500, 0.500], [0.000, 0.500, 0.500], [0.500, 0.000, 0.500], [0.500, 0.500, 0.000]],
  "formation_energy_uncorrected_ev_per_atom": 0.020
}



Number 6 is which compound? Pm4Dy5Pu